# Na3HfMg

Crystalline Na3HfMg at its relaxed geometry (PBE, Alexandria via LeMat-Bulk).

## Properties
* energy of formation: 1351 meV per atom
* crystal system: cubic
* total magnetic moment: 3.60 μB per formula unit
* N(E_F): 10.3 states/eV/cell

Lattice parameters (Å, degrees): 6.110 6.110 6.110 90.00 90.00 90.00
Space group Pm-3m (No. 221)
Inequivalent atoms, fractional coordinates:
Na  0.000  0.000  0.500 [3 per cell]
Hf  0.000  0.000  0.000 [1 per cell]
Mg  0.500  0.500  0.500 [1 per cell]